<A>
VASP calculation (PBE) on a relaxed structure of ScV3Ge. Values from VASP.

Space group: No. 221

Quantum ESPRESSO input file:
```
&SYSTEM
  ibrav = 0, nat = 5, ntyp = 3
/
ATOMIC_SPECIES
V 50.94 V.upf
Sc 44.96 Sc.upf
Ge 72.64 Ge.upf
CELL_PARAMETERS angstrom
4.556 0.000 0.000
0.000 4.556 0.000
0.000 0.000 4.556
ATOMIC_POSITIONS crystal
V 0.000 0.000 0.500
Sc 0.500 0.500 0.500
Ge 0.000 0.000 0.000
V 0.500 0.000 0.000
V 0.000 0.500 0.000
```

***

<B>
VASP calculation (PBE) on a relaxed structure of ScV3Ge. Values from VASP.

Space group: No. 221

Quantum ESPRESSO input file:
```
&SYSTEM
  ibrav = 0, nat = 5, ntyp = 3
/
ATOMIC_SPECIES
V 50.94 V.upf
Sc 44.96 Sc.upf
Ge 72.64 Ge.upf
CELL_PARAMETERS angstrom
4.420 0.000 0.000
0.000 4.420 0.000
0.000 0.000 4.420
ATOMIC_POSITIONS crystal
V 0.000 0.500 0.000
Sc 0.000 0.000 0.000
V 0.500 0.000 0.000
V 0.000 0.000 0.500
Ge 0.500 0.500 0.500
```

***

Verdict on stability: <B> comes out at the bottom.

***

<A>
VASP calculation (PBE) on a relaxed structure of Sc2V3Ge4. Values from VASP.

Space group: No. 62

Quantum ESPRESSO input file:
```
&SYSTEM
  ibrav = 0, nat = 36, ntyp = 3
/
ATOMIC_SPECIES
Sc 44.96 Sc.upf
Ge 72.64 Ge.upf
V 50.94 V.upf
CELL_PARAMETERS angstrom
6.628 0.000 0.000
0.000 6.779 0.000
0.000 0.000 12.780
ATOMIC_POSITIONS crystal
Sc 0.509 0.326 0.407
Ge 0.322 0.042 0.543
Ge 0.178 0.542 0.043
Sc 0.509 0.326 0.093
Ge 0.189 0.646 0.750
V 0.665 0.985 0.250
Ge 0.536 0.622 0.250
Ge 0.689 0.854 0.750
V 0.335 0.015 0.750
Sc 0.491 0.674 0.593
Ge 0.822 0.458 0.957
Sc 0.009 0.174 0.407
Sc 0.009 0.174 0.093
Ge 0.811 0.354 0.250
Ge 0.464 0.378 0.750
V 0.165 0.515 0.250
V 0.659 0.166 0.873
V 0.341 0.834 0.127
V 0.841 0.666 0.127
V 0.841 0.666 0.373
Sc 0.491 0.674 0.907
V 0.659 0.166 0.627
Ge 0.678 0.958 0.457
Sc 0.991 0.826 0.907
V 0.341 0.834 0.373
Ge 0.822 0.458 0.543
V 0.835 0.485 0.750
Sc 0.991 0.826 0.593
V 0.159 0.334 0.873
Ge 0.322 0.042 0.957
Ge 0.678 0.958 0.043
V 0.159 0.334 0.627
Ge 0.311 0.146 0.250
Ge 0.178 0.542 0.457
Ge 0.036 0.878 0.250
Ge 0.964 0.122 0.750
```

***

<B>
VASP calculation (PBE) on a relaxed structure of Sc2V3Ge4. Values from VASP.

Space group: No. 14

Quantum ESPRESSO input file:
```
&SYSTEM
  ibrav = 0, nat = 18, ntyp = 3
/
ATOMIC_SPECIES
Sc 44.96 Sc.upf
V 50.94 V.upf
Ge 72.64 Ge.upf
CELL_PARAMETERS angstrom
-5.781 1.109 3.115
2.254 -6.212 1.485
3.349 2.489 5.328
ATOMIC_POSITIONS crystal
Sc 0.054 0.186 0.171
V 0.754 0.746 0.328
Ge 0.854 0.086 0.539
V 0.246 0.254 0.672
V 0.746 0.254 0.828
Sc 0.446 0.814 0.671
Ge 0.354 0.086 0.961
Ge 0.138 0.508 0.866
V 0.254 0.746 0.172
Ge 0.638 0.508 0.634
Sc 0.554 0.186 0.329
V 0.500 0.500 0.000
Ge 0.862 0.492 0.134
V 0.000 0.500 0.500
Ge 0.646 0.914 0.039
Ge 0.146 0.914 0.461
Sc 0.946 0.814 0.829
Ge 0.362 0.492 0.366
```

***

Verdict on stability: <B> comes out at the bottom.

***

<A>
VASP calculation (PBE) on a relaxed structure of YSc2Ge2. Values from VASP.

Space group: No. 139

Quantum ESPRESSO input file:
```
&SYSTEM
  ibrav = 0, nat = 5, ntyp = 3
/
ATOMIC_SPECIES
Sc 44.96 Sc.upf
Y 88.91 Y.upf
Ge 72.64 Ge.upf
CELL_PARAMETERS angstrom
-2.398 -1.661 3.148
-1.664 -2.832 -2.762
2.381 -6.122 1.509
ATOMIC_POSITIONS crystal
Sc 0.250 0.750 0.500
Y 0.000 0.000 0.000
Ge 0.604 0.604 0.791
Sc 0.750 0.250 0.500
Ge 0.396 0.396 0.209
```

***

<B>
VASP calculation (PBE) on a relaxed structure of YSc2Ge2. Values from VASP.

Space group: No. 15

Quantum ESPRESSO input file:
```
&SYSTEM
  ibrav = 0, nat = 10, ntyp = 3
/
ATOMIC_SPECIES
Sc 44.96 Sc.upf
Ge 72.64 Ge.upf
Y 88.91 Y.upf
CELL_PARAMETERS angstrom
-4.594 5.029 2.055
-4.740 -5.276 -0.560
3.844 -1.119 4.194
ATOMIC_POSITIONS crystal
Sc 0.780 0.063 0.494
Ge 0.608 0.892 0.750
Sc 0.563 0.280 0.994
Y 0.121 0.379 0.250
Ge 0.160 0.340 0.750
Ge 0.840 0.660 0.250
Sc 0.437 0.720 0.006
Sc 0.220 0.937 0.506
Ge 0.392 0.108 0.250
Y 0.879 0.621 0.750
```

***

<C>
VASP calculation (PBE) on a relaxed structure of YSc2Ge2. Values from VASP.

Space group: No. 127

Quantum ESPRESSO input file:
```
&SYSTEM
  ibrav = 0, nat = 10, ntyp = 3
/
ATOMIC_SPECIES
Sc 44.96 Sc.upf
Ge 72.64 Ge.upf
Y 88.91 Y.upf
CELL_PARAMETERS angstrom
-7.878 2.002 -1.085
-2.182 -7.755 1.537
-0.247 0.669 3.026
ATOMIC_POSITIONS crystal
Sc 0.875 0.625 0.000
Ge 0.674 0.826 0.500
Y 0.500 0.500 0.000
Ge 0.326 0.174 0.500
Sc 0.625 0.125 0.000
Sc 0.125 0.375 0.000
Sc 0.375 0.875 0.000
Y 0.000 0.000 0.000
Ge 0.826 0.326 0.500
Ge 0.174 0.674 0.500
```

***

<D>
VASP calculation (PBE) on a relaxed structure of YSc2Ge2. Values from VASP.

Space group: No. 139

Quantum ESPRESSO input file:
```
&SYSTEM
  ibrav = 0, nat = 5, ntyp = 3
/
ATOMIC_SPECIES
Ge 72.64 Ge.upf
Sc 44.96 Sc.upf
Y 88.91 Y.upf
CELL_PARAMETERS angstrom
5.014 0.000 0.000
0.000 5.014 0.000
2.507 2.507 4.907
ATOMIC_POSITIONS crystal
Ge 0.750 0.250 0.500
Ge 0.250 0.750 0.500
Sc 0.665 0.665 0.670
Sc 0.335 0.335 0.330
Y 0.000 0.000 0.000
```

***

Verdict on stability: <D> comes out at the bottom.

***

<A>
VASP calculation (PBE) on a relaxed structure of Y2ScGe2. Values from VASP.

Space group: No. 127

Quantum ESPRESSO input file:
```
&SYSTEM
  ibrav = 0, nat = 10, ntyp = 3
/
ATOMIC_SPECIES
Sc 44.96 Sc.upf
Ge 72.64 Ge.upf
Y 88.91 Y.upf
CELL_PARAMETERS angstrom
-7.192 -1.213 0.926
1.299 -7.208 0.643
0.465 0.460 4.217
ATOMIC_POSITIONS crystal
Sc 0.500 0.500 0.000
Ge 0.629 0.129 0.000
Ge 0.871 0.629 0.000
Ge 0.371 0.871 0.000
Y 0.173 0.673 0.500
Y 0.327 0.173 0.500
Ge 0.129 0.371 0.000
Y 0.827 0.327 0.500
Y 0.673 0.827 0.500
Sc 0.000 0.000 0.000
```

***

<B>
VASP calculation (PBE) on a relaxed structure of Y2ScGe2. Values from VASP.

Space group: No. 12

Quantum ESPRESSO input file:
```
&SYSTEM
  ibrav = 0, nat = 10, ntyp = 3
/
ATOMIC_SPECIES
Ge 72.64 Ge.upf
Y 88.91 Y.upf
Sc 44.96 Sc.upf
CELL_PARAMETERS angstrom
4.297 0.000 0.000
2.148 5.932 0.081
2.148 1.019 9.239
ATOMIC_POSITIONS crystal
Ge 0.126 0.314 0.434
Ge 0.874 0.686 0.566
Ge 0.983 0.149 0.886
Ge 0.017 0.851 0.114
Y 0.516 0.654 0.315
Y 0.682 0.729 0.907
Y 0.318 0.271 0.093
Sc 0.778 0.077 0.367
Y 0.484 0.346 0.685
Sc 0.222 0.923 0.633
```

***

Verdict on stability: <B> comes out at the bottom.

***

<A>
VASP calculation (PBE) on a relaxed structure of Y3ScGe. Values from VASP.

Space group: No. 221

Quantum ESPRESSO input file:
```
&SYSTEM
  ibrav = 0, nat = 5, ntyp = 3
/
ATOMIC_SPECIES
Y 88.91 Y.upf
Ge 72.64 Ge.upf
Sc 44.96 Sc.upf
CELL_PARAMETERS angstrom
-5.476 0.292 0.058
-0.209 -3.011 -4.579
-0.212 -4.574 3.018
ATOMIC_POSITIONS crystal
Y 0.500 0.000 0.000
Ge 0.000 0.000 0.000
Y 0.000 0.000 0.500
Y 0.000 0.500 0.000
Sc 0.500 0.500 0.500
```

***

<B>
VASP calculation (PBE) on a relaxed structure of Y3ScGe. Values from VASP.

Space group: No. 221

Quantum ESPRESSO input file:
```
&SYSTEM
  ibrav = 0, nat = 5, ntyp = 3
/
ATOMIC_SPECIES
Y 88.91 Y.upf
Sc 44.96 Sc.upf
Ge 72.64 Ge.upf
CELL_PARAMETERS angstrom
-2.934 2.408 -3.817
-0.747 -4.749 -2.422
-4.451 -0.790 2.923
ATOMIC_POSITIONS crystal
Y 0.000 0.500 0.000
Y 0.000 0.000 0.500
Y 0.500 0.000 0.000
Sc 0.000 0.000 0.000
Ge 0.500 0.500 0.500
```

***

Verdict on stability: <B> comes out at the bottom.

***

<A>
VASP calculation (PBE) on a relaxed structure of YScGe. Values from VASP.

Space group: No. 12

Quantum ESPRESSO input file:
```
&SYSTEM
  ibrav = 0, nat = 6, ntyp = 3
/
ATOMIC_SPECIES
Sc 44.96 Sc.upf
Y 88.91 Y.upf
Ge 72.64 Ge.upf
CELL_PARAMETERS angstrom
3.283 0.004 0.002
1.641 5.689 0.221
1.645 2.761 7.501
ATOMIC_POSITIONS crystal
Sc 0.813 0.402 0.922
Y 0.526 0.336 0.564
Ge 0.126 0.481 0.221
Y 0.834 0.953 0.332
Ge 0.234 0.808 0.675
Sc 0.547 0.887 0.974
```

***

<B>
VASP calculation (PBE) on a relaxed structure of YScGe. Values from VASP.

Space group: No. 216

Quantum ESPRESSO input file:
```
&SYSTEM
  ibrav = 0, nat = 3, ntyp = 3
/
ATOMIC_SPECIES
Sc 44.96 Sc.upf
Y 88.91 Y.upf
Ge 72.64 Ge.upf
CELL_PARAMETERS angstrom
-3.641 -1.762 2.477
-2.494 -3.650 -1.720
0.354 -4.277 2.020
ATOMIC_POSITIONS crystal
Sc 0.500 0.500 0.500
Y 0.000 0.000 0.000
Ge 0.250 0.250 0.250
```

***

Verdict on stability: <A> comes out at the bottom.